Run i
Here is an optimized crystal structure of Na2Pu2O7 from Alexandria. Energies are from GGA-PBE.

a = 7.0551 Å, b = 7.0551 Å, c = 4.2690 Å
α = 94.07°, β = 94.07°, γ = 120.39°
Fractional coordinates of all 11 atoms:
Na 0.2243 0.7757 0.0000
Na 0.7757 0.2243 0.0000
Pu 0.2950 0.2950 0.6994
Pu 0.7050 0.7050 0.3006
O 0.0000 0.0000 0.5000
O 0.1334 0.4374 0.7180
O 0.3802 0.3802 0.2237
O 0.4374 0.1334 0.7180
O 0.5626 0.8666 0.2820
O 0.6198 0.6198 0.7763
O 0.8666 0.5626 0.2820

Summary:
* N(E_F): 5.64 states/eV/cell
* V: 181 Å³/cell
* spin magnetization: 4.00 μB/f.u.

Run ii
Here is an optimized crystal structure of Na2Pu2O7 from Alexandria. Energies are from GGA-PBE.

a = 5.2406 Å, b = 5.2406 Å, c = 5.6381 Å
α = 90.78°, β = 90.78°, γ = 83.05°
Fractional coordinates of all 11 atoms:
Na 0.2393 0.7607 0.0000
Na 0.7607 0.2393 0.0000
Pu 0.2275 0.2275 0.4851
Pu 0.7725 0.7725 0.5149
O 0.0035 0.5096 0.2765
O 0.0099 0.0099 0.2855
O 0.4904 0.9965 0.7235
O 0.5000 0.5000 0.5000
O 0.5096 0.0035 0.2765
O 0.9901 0.9901 0.7145
O 0.9965 0.4904 0.7235

Summary:
* N(E_F): 7.70 states/eV/cell
* V: 154 Å³/cell
* spin magnetization: 4.00 μB/f.u.

Stability summary: most stable run i, least stable run ii.